Entry from the Alexandria database: a relaxed structure of RbPtCl3 (PBE).

Structure (POSCAR):
```
RbPtCl3
1.0
6.534 0.000 0.000
0.000 8.880 -2.365
0.000 0.684 12.616
Rb Pt Cl
4 4 12
Direct
0.452 0.658 0.194 Rb
0.548 0.342 0.806 Rb
0.952 0.342 0.306 Rb
0.048 0.658 0.694 Rb
0.055 0.825 0.424 Pt
0.945 0.175 0.576 Pt
0.555 0.175 0.076 Pt
0.445 0.825 0.924 Pt
0.843 0.026 0.411 Cl
0.157 0.974 0.589 Cl
0.343 0.974 0.089 Cl
0.657 0.026 0.911 Cl
0.264 0.632 0.446 Cl
0.736 0.368 0.554 Cl
0.764 0.368 0.054 Cl
0.236 0.632 0.946 Cl
0.948 0.692 0.258 Cl
0.052 0.308 0.742 Cl
0.448 0.308 0.242 Cl
0.552 0.692 0.758 Cl
```

Entry from the Alexandria database: a relaxed structure of RbPt3Cl (PBE).

Structure (POSCAR):
```
RbPt3Cl
1.0
-1.764 -1.900 4.584
-0.517 -4.768 -2.175
4.935 -1.178 1.410
Rb Pt Cl
1 3 1
Direct
0.000 0.000 0.000 Rb
0.000 0.500 0.000 Pt
0.000 0.000 0.500 Pt
0.500 0.000 0.000 Pt
0.500 0.500 0.500 Cl
```

Entry from the Alexandria database: a relaxed structure of Rb3PtCl6 (PBE).

Structure (POSCAR):
```
Rb3PtCl6
1.0
-1.667 7.550 1.529
-5.031 -2.252 5.634
0.643 2.796 7.205
Rb Pt Cl
3 1 6
Direct
0.500 0.500 0.000 Rb
0.750 0.250 0.500 Rb
0.250 0.750 0.500 Rb
0.000 0.000 0.000 Pt
0.215 0.215 0.569 Cl
0.785 0.785 0.431 Cl
0.223 0.223 0.000 Cl
0.777 0.777 0.000 Cl
0.777 0.223 0.000 Cl
0.223 0.777 0.000 Cl
```

Entry from the Alexandria database: a relaxed structure of Rb3PtCl6 (PBE).

Structure (POSCAR):
```
Rb3PtCl6
1.0
-8.518 -1.241 -2.395
1.182 -8.815 0.857
-2.371 0.652 8.590
Rb Pt Cl
6 2 12
Direct
0.435 0.928 0.752 Rb
0.928 0.752 0.435 Rb
0.248 0.565 0.072 Rb
0.752 0.435 0.928 Rb
0.072 0.248 0.565 Rb
0.565 0.072 0.248 Rb
0.000 0.000 0.000 Pt
0.500 0.500 0.500 Pt
0.256 0.941 0.078 Cl
0.059 0.922 0.744 Cl
0.562 0.764 0.451 Cl
0.922 0.744 0.059 Cl
0.451 0.562 0.764 Cl
0.236 0.549 0.438 Cl
0.764 0.451 0.562 Cl
0.549 0.438 0.236 Cl
0.078 0.256 0.941 Cl
0.438 0.236 0.549 Cl
0.941 0.078 0.256 Cl
0.744 0.059 0.922 Cl
```

Number 1: magnetic moment 0.00 μB per formula unit, DOS at the Fermi energy 0.00 states/eV/atom, ΔE_f (raw) -23.90 kcal/mol of atoms. Number 2: magnetic moment 1.26 μB per formula unit, DOS at the Fermi energy 2.66 states/eV/atom, ΔE_f (raw) 52.22 kcal/mol of atoms. Number 3: magnetic moment 1.00 μB per formula unit, DOS at the Fermi energy 0.03 states/eV/atom, ΔE_f (raw) -29.55 kcal/mol of atoms. Number 4: magnetic moment 1.02 μB per formula unit, DOS at the Fermi energy 0.69 states/eV/atom, ΔE_f (raw) -29.86 kcal/mol of atoms.